1.
CrCoSi | GGA-PBEsol | optimized geometry

The value obtained for the theoretical density is 6.87 g/cm3. For the formation energy without anion corrections, the calculation gives -1.221 eV per formula unit. As for the density of states at the Fermi level: 0.540 states/eV per atom.

The structure belongs to space group Pnma (No. 62); the cell edges are 5.6628, 3.5725 and 6.6417 Å and the angles 90.00°, 90.00° and 90.00°. The asymmetric unit holds Cr at (0.0266, 0.2500, 0.1816), Co at (0.1452, 0.2500, 0.5577) and Si at (0.2419, 0.7500, 0.3766).

---

2.
TlCrCo2Sn | GGA-PBEsol | optimized geometry

The value obtained for the theoretical density is 6.94 g/cm3. As for the density of states at the Fermi level: 1.759 states/eV per atom. The value obtained for the energy relative to the elements is 1.62 eV per atom.

The structure belongs to space group P4/mmm (No. 123); the cell edges are 4.6402, 4.6402 and 5.4763 Å and the angles 90.00°, 90.00° and 90.00°. The asymmetric unit holds Tl at (0.0000, 0.0000, 0.0000), Cr at (0.5000, 0.5000, 0.0000), Co at (0.0000, 0.5000, 0.5000) and Sn at (0.0000, 0.0000, 0.5000).

---

3.
SrCr2Co | GGA-PBEsol | optimized geometry

The value obtained for the theoretical density is 6.82 g/cm3. The calculation puts the energy above the lowest structure with this stoichiometry at 2.829 eV per formula unit. As for the density of states at the Fermi level: 1.702 states/eV per atom. The value obtained for the energy relative to the elements is 1.37 eV per atom.

The structure belongs to space group P4/mmm (No. 123); the cell edges are 3.5628, 3.5628 and 4.8028 Å and the angles 90.00°, 90.00° and 90.00°. The asymmetric unit holds Sr at (0.0000, 0.0000, 0.0000), Cr at (0.0000, 0.5000, 0.5000) and Co at (0.5000, 0.5000, 0.0000).

---

4.
SrCr2Co | GGA-PBEsol | optimized geometry

The value obtained for the theoretical density is 6.37 g/cm3. The calculation puts the energy above the lowest structure with this stoichiometry at 0.000 eV per formula unit. As for the density of states at the Fermi level: 0.854 states/eV per atom. The value obtained for the energy relative to the elements is 0.66 eV per atom.

The structure belongs to space group P4mm (No. 99); the cell edges are 2.9839, 2.9839 and 7.3304 Å and the angles 90.00°, 90.00° and 90.00°. The asymmetric unit holds Sr at (0.0000, 0.0000, 0.0000), Cr at (0.0000, 0.0000, 0.4775), Cr at (0.5000, 0.5000, 0.6465) and Co at (0.5000, 0.5000, 0.3124).

---

5.
Ta2CrCo | GGA-PBEsol | optimized geometry

The value obtained for the theoretical density is 14.01 g/cm3. As for the density of states at the Fermi level: 0.766 states/eV per atom. The value obtained for the energy relative to the elements is -0.12 eV per atom.

The structure belongs to space group P4/mmm (No. 123); the cell edges are 3.0634, 3.0634 and 5.9731 Å and the angles 90.00°, 90.00° and 90.00°. The asymmetric unit holds Ta at (0.0000, 0.0000, 0.2490), Cr at (0.5000, 0.5000, 0.0000) and Co at (0.5000, 0.5000, 0.5000).

---

6.
Ta2CrCo | GGA-PBEsol | optimized geometry

The value obtained for the theoretical density is 13.66 g/cm3. As for the density of states at the Fermi level: 0.934 states/eV per atom. The value obtained for the energy relative to the elements is 0.07 eV per atom.

The structure belongs to space group P4mm (No. 99); the cell edges are 3.0956, 3.0956 and 5.9958 Å and the angles 90.00°, 90.00° and 90.00°. The asymmetric unit holds Ta at (0.0000, 0.0000, 0.0000), Ta at (0.5000, 0.5000, 0.2980), Cr at (0.5000, 0.5000, 0.7656) and Co at (0.0000, 0.0000, 0.5298).

---

7.
Ta2CrCo | GGA-PBEsol | optimized geometry

The value obtained for the theoretical density is 13.84 g/cm3. As for the density of states at the Fermi level: 1.268 states/eV per atom. The value obtained for the energy relative to the elements is 0.17 eV per atom.

The structure belongs to space group F-43m (No. 216); the cell edges are 6.0995, 6.0995 and 6.0995 Å and the angles 90.00°, 90.00° and 90.00°. The asymmetric unit holds Ta at (0.0000, 0.0000, 0.0000), Ta at (0.2500, 0.2500, 0.2500), Cr at (0.2500, 0.2500, 0.7500) and Co at (0.0000, 0.0000, 0.5000).

---

8.
TaCr4Co | GGA-PBEsol | optimized geometry

The value obtained for the theoretical density is 10.08 g/cm3. As for the density of states at the Fermi level: 1.153 states/eV per atom. The value obtained for the energy relative to the elements is 0.15 eV per atom.

The structure belongs to space group F-43m (No. 216); the cell edges are 6.6588, 6.6588 and 6.6588 Å and the angles 90.00°, 90.00° and 90.00°. The asymmetric unit holds Ta at (0.0000, 0.0000, 0.0000), Cr at (0.1263, 0.1263, 0.6263) and Co at (0.2500, 0.2500, 0.2500).

---

Which value of theoretical density does entry 2 give?
6.94 g/cm3

---

The lowest theoretical density belongs to which entry?
number 4

---

What did the first record say?
CrCoSi | GGA-PBEsol | optimized geometry

The value obtained for the theoretical density is 6.87 g/cm3. For the formation energy without anion corrections, the calculation gives -1.221 eV per formula unit. As for the density of states at the Fermi level: 0.540 states/eV per atom.

The structure belongs to space group Pnma (No. 62); the cell edges are 5.6628, 3.5725 and 6.6417 Å and the angles 90.00°, 90.00° and 90.00°. The asymmetric unit holds Cr at (0.0266, 0.2500, 0.1816), Co at (0.1452, 0.2500, 0.5577) and Si at (0.2419, 0.7500, 0.3766).